No. 1
# TaNb2Pd5

TaNb2Pd5 after structural relaxation (PBE, Alexandria).

Summary:
**Symmetry**: Pbam (55)
**Calculated formation energy**: -0.306 eV/atom
**Crystal system**: orthorhombic

```
data_TaNb2Pd5
_symmetry_space_group_name_H-M 'P 1'
_symmetry_Int_Tables_number 1
_symmetry_space_group_name_Hall 'P 1'
_cell_length_a 5.757
_cell_length_b 11.527
_cell_length_c 3.899
_cell_angle_alpha 90.00
_cell_angle_beta 90.00
_cell_angle_gamma 90.00
loop_
_atom_site_label
_atom_site_type_symbol
_atom_site_fract_x
_atom_site_fract_y
_atom_site_fract_z
_atom_site_occupancy
Ta1 Ta 0.000 0.000 0.000 1
Ta2 Ta 0.500 0.500 0.000 1
Nb1 Nb 0.246 0.374 0.500 1
Nb2 Nb 0.254 0.874 0.500 1
Nb3 Nb 0.746 0.126 0.500 1
Nb4 Nb 0.754 0.626 0.500 1
Pd1 Pd 0.000 0.500 0.000 1
Pd2 Pd 0.001 0.248 0.000 1
Pd3 Pd 0.248 0.124 0.500 1
Pd4 Pd 0.252 0.624 0.500 1
Pd5 Pd 0.499 0.748 0.000 1
Pd6 Pd 0.500 0.000 0.000 1
Pd7 Pd 0.501 0.252 0.000 1
Pd8 Pd 0.748 0.376 0.500 1
Pd9 Pd 0.752 0.876 0.500 1
Pd10 Pd 0.999 0.752 0.000 1
```

=====

No. 2
# Ta12Nb5Pd3

Ta12Nb5Pd3 after structural relaxation (PBE, Alexandria).

Summary:
**Symmetry**: Ia-3d (230)
**Calculated formation energy**: 1.399 eV/atom
**Crystal system**: cubic

```
data_Ta12Nb5Pd3
_symmetry_space_group_name_H-M 'P 1'
_symmetry_Int_Tables_number 1
_symmetry_space_group_name_Hall 'P 1'
_cell_length_a 13.341
_cell_length_b 13.341
_cell_length_c 13.341
_cell_angle_alpha 109.47
_cell_angle_beta 109.47
_cell_angle_gamma 109.47
loop_
_atom_site_label
_atom_site_type_symbol
_atom_site_fract_x
_atom_site_fract_y
_atom_site_fract_z
_atom_site_occupancy
Ta1 Ta 0.070 0.642 0.411 1
Ta2 Ta 0.070 0.928 0.659 1
Ta3 Ta 0.072 0.231 0.142 1
Ta4 Ta 0.072 0.341 0.930 1
Ta5 Ta 0.089 0.731 0.659 1
Ta6 Ta 0.089 0.858 0.430 1
Ta7 Ta 0.142 0.072 0.231 1
Ta8 Ta 0.142 0.570 0.911 1
Ta9 Ta 0.159 0.231 0.589 1
Ta10 Ta 0.159 0.428 0.570 1
Ta11 Ta 0.231 0.142 0.072 1
Ta12 Ta 0.231 0.589 0.159 1
Ta13 Ta 0.269 0.341 0.911 1
Ta14 Ta 0.269 0.428 0.358 1
Ta15 Ta 0.341 0.911 0.269 1
Ta16 Ta 0.341 0.930 0.072 1
Ta17 Ta 0.358 0.269 0.428 1
Ta18 Ta 0.358 0.589 0.930 1
Ta19 Ta 0.411 0.070 0.642 1
Ta20 Ta 0.411 0.841 0.769 1
Ta21 Ta 0.428 0.358 0.269 1
Ta22 Ta 0.428 0.570 0.159 1
Ta23 Ta 0.430 0.089 0.858 1
Ta24 Ta 0.430 0.841 0.572 1
Ta25 Ta 0.570 0.159 0.428 1
Ta26 Ta 0.570 0.911 0.142 1
Ta27 Ta 0.572 0.430 0.841 1
Ta28 Ta 0.572 0.642 0.731 1
Ta29 Ta 0.589 0.159 0.231 1
Ta30 Ta 0.589 0.930 0.358 1
Ta31 Ta 0.642 0.411 0.070 1
Ta32 Ta 0.642 0.731 0.572 1
Ta33 Ta 0.659 0.070 0.928 1
Ta34 Ta 0.659 0.089 0.731 1
Ta35 Ta 0.731 0.572 0.642 1
Ta36 Ta 0.731 0.659 0.089 1
Ta37 Ta 0.769 0.411 0.841 1
Ta38 Ta 0.769 0.858 0.928 1
Ta39 Ta 0.841 0.572 0.430 1
Ta40 Ta 0.841 0.769 0.411 1
Ta41 Ta 0.858 0.430 0.089 1
Ta42 Ta 0.858 0.928 0.769 1
Ta43 Ta 0.911 0.142 0.570 1
Ta44 Ta 0.911 0.269 0.341 1
Ta45 Ta 0.928 0.659 0.070 1
Ta46 Ta 0.928 0.769 0.858 1
Ta47 Ta 0.930 0.072 0.341 1
Ta48 Ta 0.930 0.358 0.589 1
Nb1 Nb 0.000 0.000 0.000 1
Nb2 Nb 0.000 0.000 0.500 1
Nb3 Nb 0.000 0.500 0.000 1
Nb4 Nb 0.000 0.500 0.500 1
Nb5 Nb 0.125 0.750 0.875 1
Nb6 Nb 0.125 0.875 0.250 1
Nb7 Nb 0.250 0.125 0.875 1
Nb8 Nb 0.250 0.625 0.375 1
Nb9 Nb 0.375 0.250 0.625 1
Nb10 Nb 0.375 0.625 0.750 1
Nb11 Nb 0.500 0.000 0.000 1
Nb12 Nb 0.500 0.000 0.500 1
Nb13 Nb 0.500 0.500 0.000 1
Nb14 Nb 0.500 0.500 0.500 1
Nb15 Nb 0.625 0.375 0.250 1
Nb16 Nb 0.625 0.750 0.375 1
Nb17 Nb 0.750 0.375 0.625 1
Nb18 Nb 0.750 0.875 0.125 1
Nb19 Nb 0.875 0.125 0.750 1
Nb20 Nb 0.875 0.250 0.125 1
Pd1 Pd 0.125 0.250 0.375 1
Pd2 Pd 0.125 0.375 0.750 1
Pd3 Pd 0.250 0.375 0.125 1
Pd4 Pd 0.250 0.875 0.625 1
Pd5 Pd 0.375 0.125 0.250 1
Pd6 Pd 0.375 0.750 0.125 1
Pd7 Pd 0.625 0.250 0.875 1
Pd8 Pd 0.625 0.875 0.750 1
Pd9 Pd 0.750 0.125 0.375 1
Pd10 Pd 0.750 0.625 0.875 1
Pd11 Pd 0.875 0.625 0.250 1
Pd12 Pd 0.875 0.750 0.625 1
```

=====

No. 3
# TaNbPd4

TaNbPd4 after structural relaxation (PBE, Alexandria).

Summary:
**Symmetry**: Cmmm (65)
**Energy relative to the lowest polymorph listed for this composition**: 0.687 eV/atom
**Calculated formation energy**: 0.250 eV/atom
**Crystal system**: orthorhombic

```
data_TaNbPd4
_symmetry_space_group_name_H-M 'P 1'
_symmetry_Int_Tables_number 1
_symmetry_space_group_name_Hall 'P 1'
_cell_length_a 5.409
_cell_length_b 5.409
_cell_length_c 3.871
_cell_angle_alpha 90.00
_cell_angle_beta 90.00
_cell_angle_gamma 91.30
loop_
_atom_site_label
_atom_site_type_symbol
_atom_site_fract_x
_atom_site_fract_y
_atom_site_fract_z
_atom_site_occupancy
Ta1 Ta 0.000 0.000 0.000 1
Nb1 Nb 0.500 0.500 0.000 1
Pd1 Pd 0.000 0.500 0.000 1
Pd2 Pd 0.242 0.242 0.500 1
Pd3 Pd 0.500 0.000 0.000 1
Pd4 Pd 0.758 0.758 0.500 1
```

=====

No. 4
# Ta2Nb15Pd2

Ta2Nb15Pd2 after structural relaxation (PBE, Alexandria).

Summary:
**Symmetry**: R-3m (166)
**Calculated formation energy**: 0.310 eV/atom
**Crystal system**: trigonal

```
data_Ta2Nb15Pd2
_symmetry_space_group_name_H-M 'P 1'
_symmetry_Int_Tables_number 1
_symmetry_space_group_name_Hall 'P 1'
_cell_length_a 7.194
_cell_length_b 7.194
_cell_length_c 7.194
_cell_angle_alpha 83.51
_cell_angle_beta 83.51
_cell_angle_gamma 83.51
loop_
_atom_site_label
_atom_site_type_symbol
_atom_site_fract_x
_atom_site_fract_y
_atom_site_fract_z
_atom_site_occupancy
Ta1 Ta 0.111 0.111 0.111 1
Ta2 Ta 0.889 0.889 0.889 1
Nb1 Nb 0.000 0.500 0.500 1
Nb2 Nb 0.158 0.158 0.657 1
Nb3 Nb 0.158 0.657 0.158 1
Nb4 Nb 0.173 0.500 0.827 1
Nb5 Nb 0.173 0.827 0.500 1
Nb6 Nb 0.343 0.842 0.842 1
Nb7 Nb 0.500 0.000 0.500 1
Nb8 Nb 0.500 0.173 0.827 1
Nb9 Nb 0.500 0.500 0.000 1
Nb10 Nb 0.500 0.827 0.173 1
Nb11 Nb 0.657 0.158 0.158 1
Nb12 Nb 0.827 0.173 0.500 1
Nb13 Nb 0.827 0.500 0.173 1
Nb14 Nb 0.842 0.343 0.842 1
Nb15 Nb 0.842 0.842 0.343 1
Pd1 Pd 0.404 0.404 0.404 1
Pd2 Pd 0.596 0.596 0.596 1
```

=====

Q: Among the records above, which one has the lowest calculated formation energy?
A: TaNb2Pd5

=====

Q: What is the formula in the second record?
A: Ta12Nb5Pd3

=====

Q: Which of these has the highest calculated formation energy?
A: Ta12Nb5Pd3

=====

Q: Number 2 is which compound?
A: Ta12Nb5Pd3